Density functional theory data (PBE) for crystalline Nd6Sm5Mg at its relaxed geometry.

a b c (Å): 5.144 9.591 9.591
angles (deg): 106.88 105.55 105.55
Fractional coordinates of all 12 atoms:
Nd: 0.247 0.412 0.081
Nd: 0.247 0.081 0.412
Nd: 0.748 0.248 0.248
Nd: 0.753 0.588 0.919
Nd: 0.252 0.752 0.752
Nd: 0.753 0.919 0.588
Sm: 0.500 0.169 0.831
Sm: 0.000 0.335 0.665
Sm: 0.500 0.500 0.500
Sm: 0.500 0.831 0.169
Sm: 0.000 0.665 0.335
Mg: 0.000 0.000 0.000

Calculated values
energy of formation = 0.011 eV/atom
V = 404 Å³/cell